Record 1
Below is CaCuAs4 after structural relaxation, with properties calculated at the PBE level.

It has space group F-43m (No. 216), with a = 7.914 Å, b = 7.914 Å, c = 7.914 Å, α = 90.00°, β = 90.00° and γ = 90.00°. The distinct sites, in fractional coordinates, are Ca at (0.000, 0.000, 0.000), Cu at (0.250, 0.250, 0.750) and As at (0.123, 0.123, 0.377).

As for the calculated total energy: -4.095 eV/atom. Its crystal system is cubic.

=====

Record 2
Below is K12H5S3 after structural relaxation, with properties calculated at the PBE level.

It has space group Ia-3d (No. 230), with a = 17.168 Å, b = 17.168 Å, c = 17.168 Å, α = 90.00°, β = 90.00° and γ = 90.00°. The distinct sites, in fractional coordinates, are K at (0.024, 0.062, 0.655), H at (0.000, 0.000, 0.000), H at (0.000, 0.250, 0.375) and S at (0.000, 0.250, 0.125).

As for the calculated total energy: -2.610 eV/atom. Its crystal system is cubic.

=====

Record 3
Below is PaInBi2 after structural relaxation, with properties calculated at the PBE level.

It has space group R3m (No. 160, hexagonal axes), with a = 4.7716 Å, b = 4.7716 Å, c = 20.8502 Å, α = 90.00°, β = 90.00° and γ = 120.00°. The distinct sites, in fractional coordinates, are Pa at (0.0000, 0.0000, 0.0000), In at (0.0000, 0.0000, 0.1658), Bi at (0.0000, 0.0000, 0.4003) and Bi at (0.0000, 0.0000, 0.5863).

Its crystal system is trigonal. The offset from the most stable computed form is 207.6 meV/atom.

=====

Record 4
Below is AuCl2 after structural relaxation, with properties calculated at the PBE level.

It has space group Fd-3m (No. 227, origin choice 2), with a = 8.179 Å, b = 8.179 Å, c = 8.179 Å, α = 90.00°, β = 90.00° and γ = 90.00°. The distinct sites, in fractional coordinates, are Au at (0.125, 0.125, 0.125) and Cl at (0.000, 0.000, 0.500).

Its crystal system is cubic. As for the uncorrected formation energy: 0.904 eV/atom.

=====

Record 5
Below is CaPmAu2 after structural relaxation, with properties calculated at the PBE level.

It has space group R3m (No. 160, hexagonal axes), with a = 4.1722 Å, b = 4.1722 Å, c = 22.3250 Å, α = 90.00°, β = 90.00° and γ = 120.00°. The distinct sites, in fractional coordinates, are Ca at (0.0000, 0.0000, 0.0000), Pm at (0.0000, 0.0000, 0.1704), Au at (0.0000, 0.0000, 0.5842) and Au at (0.0000, 0.0000, 0.7532).

Its crystal system is trigonal. The offset from the most stable computed form is 123.5 meV/atom.

=====

Record 6
Below is Nd6Dy5Tm after structural relaxation, with properties calculated at the PBE level.

It has space group Immm (No. 71), with a = 5.126 Å, b = 10.115 Å, c = 15.341 Å, α = 90.00°, β = 90.00° and γ = 90.00°. The distinct sites, in fractional coordinates, are Nd at (0.000, 0.249, 0.000), Nd at (0.000, 0.250, 0.333), Dy at (0.000, 0.000, 0.166), Dy at (0.000, 0.000, 0.500), Dy at (0.000, 0.500, 0.167) and Tm at (0.000, 0.500, 0.500).

As for the calculated total energy: -4.658 eV/atom. Its crystal system is orthorhombic.